CdTcSn | PBE-GGA | relaxed

Values from the calculation:
The magnetic moment is 0.0000 μB per atom. The calculation puts the total DFT energy (no corrections) at -0.181 Ha/atom.

abc: 4.336 4.336 8.408
angles: 104.41 104.41 61.09
Positions (direct):
Cd (0.203, 0.203, 0.099)
Cd (0.797, 0.797, 0.901)
Tc (0.325, 0.325, 0.462)
Tc (0.675, 0.675, 0.538)
Sn (0.067, 0.067, 0.697)
Sn (0.933, 0.933, 0.303)

Pu2HgPb9 | PBE-GGA | relaxed

Values from the calculation:
The magnetic moment is 0.9886 μB per atom. The calculation puts the total DFT energy (no corrections) at -0.190 Ha/atom.

abc: 5.795 5.795 10.687
angles: 90.00 90.00 90.00
Positions (direct):
Pu (0.000, 0.000, 0.162)
Pu (0.000, 0.000, 0.838)
Hg (0.000, 0.000, 0.500)
Pb (0.000, 0.500, 0.000)
Pb (0.000, 0.500, 0.339)
Pb (0.000, 0.500, 0.661)
Pb (0.500, 0.000, 0.000)
Pb (0.500, 0.000, 0.339)
Pb (0.500, 0.000, 0.661)
Pb (0.500, 0.500, 0.169)
Pb (0.500, 0.500, 0.500)
Pb (0.500, 0.500, 0.831)

PmTa2N4 | PBE-GGA | relaxed

Values from the calculation:
The magnetic moment is 0.0000 μB per atom. As for the relative energy among the computed polymorphs: 0.1415 eV/atom. For the raw formation energy, the calculation gives -1.140 eV/atom.

abc: 6.489 6.489 6.489
angles: 120.09 120.09 89.85
Positions (direct):
Pm (0.375, 0.625, 0.750)
Pm (0.625, 0.375, 0.250)
Ta (0.000, 0.000, 0.000)
Ta (0.000, 0.000, 0.500)
Ta (0.000, 0.500, 0.000)
Ta (0.500, 0.000, 0.500)
N (0.196, 0.232, 0.965)
N (0.232, 0.196, 0.465)
N (0.232, 0.767, 0.035)
N (0.233, 0.768, 0.465)
N (0.767, 0.232, 0.535)
N (0.768, 0.233, 0.965)
N (0.768, 0.804, 0.535)
N (0.804, 0.768, 0.035)

Pr2Sb4Pb | PBE-GGA | relaxed

Values from the calculation:
The magnetic moment is 0.0000 μB per atom. For the raw formation energy, the calculation gives -0.662 eV/atom.

abc: 4.380 4.380 11.784
angles: 90.00 90.00 90.00
Positions (direct):
Pr (0.000, 0.500, 0.215)
Pr (0.500, 0.000, 0.785)
Sb (0.000, 0.000, 0.000)
Sb (0.000, 0.500, 0.693)
Sb (0.500, 0.000, 0.307)
Sb (0.500, 0.500, 0.000)
Pb (0.000, 0.000, 0.500)

BaZrSe2F | PBE-GGA | relaxed

Values from the calculation:
The magnetic moment is 0.0000 μB per atom. For the raw formation energy, the calculation gives -2.124 eV/atom.

abc: 5.399 5.399 4.308
angles: 90.00 90.00 90.00
Positions (direct):
Ba (0.000, 0.000, 0.000)
Zr (0.500, 0.500, 0.500)
Se (0.000, 0.500, 0.500)
Se (0.500, 0.000, 0.500)
F (0.500, 0.500, 0.000)

NaZnInCl6 | PBE-GGA | relaxed

Values from the calculation:
The magnetic moment is 0.0000 μB per atom. For the raw formation energy, the calculation gives -1.252 eV/atom.

abc: 6.481 6.481 12.605
angles: 90.00 90.00 120.00
Positions (direct):
Na (0.000, 0.000, 0.000)
Na (0.000, 0.000, 0.500)
Zn (0.333, 0.667, 0.250)
Zn (0.667, 0.333, 0.750)
In (0.333, 0.667, 0.750)
In (0.667, 0.333, 0.250)
Cl (0.007, 0.365, 0.136)
Cl (0.007, 0.642, 0.364)
Cl (0.358, 0.365, 0.364)
Cl (0.358, 0.993, 0.136)
Cl (0.365, 0.007, 0.636)
Cl (0.365, 0.358, 0.864)
Cl (0.635, 0.642, 0.136)
Cl (0.635, 0.993, 0.364)
Cl (0.642, 0.007, 0.864)
Cl (0.642, 0.635, 0.636)
Cl (0.993, 0.358, 0.636)
Cl (0.993, 0.635, 0.864)

SiTeOsI2 | PBE-GGA | relaxed

Values from the calculation:
The magnetic moment is 0.8881 μB per atom. As for the relative energy among the computed polymorphs: 0.4986 eV/atom. For the raw formation energy, the calculation gives 1.516 eV/atom.

abc: 5.424 5.424 5.391
angles: 90.00 90.00 90.00
Positions (direct):
Si (0.000, 0.000, 0.000)
Te (0.000, 0.000, 0.500)
Os (0.500, 0.500, 0.500)
I (0.000, 0.500, 0.000)
I (0.500, 0.000, 0.000)

ZnCd2IO6 | PBE-GGA | relaxed

Values from the calculation:
The magnetic moment is 0.0000 μB per atom. For the raw formation energy, the calculation gives -0.772 eV/atom.

abc: 5.745 5.745 5.745
angles: 58.19 58.19 58.19
Positions (direct):
Zn (0.000, 0.000, 0.000)
Cd (0.267, 0.267, 0.267)
Cd (0.770, 0.770, 0.770)
I (0.491, 0.491, 0.491)
O (0.140, 0.710, 0.357)
O (0.234, 0.627, 0.836)
O (0.357, 0.140, 0.710)
O (0.627, 0.836, 0.234)
O (0.710, 0.357, 0.140)
O (0.836, 0.234, 0.627)

NaSi | PBE-GGA | relaxed

Values from the calculation:
The magnetic moment is 0.0000 μB per atom. As for the relative energy among the computed polymorphs: 0.2508 eV/atom. For the raw formation energy, the calculation gives 0.237 eV/atom.

abc: 2.811 2.811 4.771
angles: 90.00 90.00 90.00
Positions (direct):
Na (0.000, 0.000, 0.000)
Si (0.500, 0.500, 0.500)

SrMoSe2 | PBE-GGA | relaxed

Values from the calculation:
The magnetic moment is 0.0000 μB per atom. As for the relative energy among the computed polymorphs: 0.5018 eV/atom. For the raw formation energy, the calculation gives -0.282 eV/atom.

abc: 9.545 9.545 9.545
angles: 21.84 21.84 21.84
Positions (direct):
Sr (0.000, 0.000, 0.000)
Mo (0.500, 0.500, 0.500)
Se (0.110, 0.110, 0.110)
Se (0.890, 0.890, 0.890)

BaU2Tl2S7 | PBE-GGA | relaxed

Values from the calculation:
The magnetic moment is 0.1668 μB per atom. For the raw formation energy, the calculation gives -1.160 eV/atom.

abc: 13.939 13.939 13.939
angles: 158.28 30.91 158.27
Positions (direct):
Ba (0.000, 0.000, 0.000)
U (0.402, 0.999, 0.403)
U (0.596, 0.999, 0.597)
Tl (0.248, 0.498, 0.750)
Tl (0.748, 0.498, 0.250)
S (0.086, 0.499, 0.587)
S (0.307, 0.998, 0.309)
S (0.413, 0.499, 0.913)
S (0.499, 0.999, 0.500)
S (0.586, 0.499, 0.087)
S (0.690, 0.998, 0.691)
S (0.913, 0.499, 0.413)

LiVNi5 | PBE-GGA | relaxed

Values from the calculation:
The magnetic moment is 0.0000 μB per atom. The calculation puts the total DFT energy (no corrections) at -0.204 Ha/atom.

abc: 4.032 4.032 5.233
angles: 90.00 90.00 90.00
Positions (direct):
Li (0.000, 0.000, 0.000)
V (0.500, 0.500, 0.500)
Ni (0.000, 0.500, 0.258)
Ni (0.000, 0.500, 0.742)
Ni (0.500, 0.000, 0.258)
Ni (0.500, 0.000, 0.742)
Ni (0.500, 0.500, 0.000)

SrIn3O | PBE-GGA | relaxed

Values from the calculation:
The magnetic moment is 0.0000 μB per atom. As for the relative energy among the computed polymorphs: 1.5285 eV/atom. For the raw formation energy, the calculation gives 1.131 eV/atom.

abc: 6.262 6.262 6.262
angles: 90.00 90.00 90.00
Positions (direct):
Sr (0.000, 0.000, 0.000)
In (0.000, 0.000, 0.500)
In (0.000, 0.500, 0.000)
In (0.500, 0.000, 0.000)
O (0.500, 0.500, 0.500)

LiMnAg4 | PBE-GGA | relaxed

Values from the calculation:
The magnetic moment is 0.7605 μB per atom. The calculation puts the total DFT energy (no corrections) at -0.130 Ha/atom.

abc: 5.469 5.469 5.469
angles: 60.00 60.00 60.00
Positions (direct):
Li (0.000, 0.000, 0.000)
Mn (0.750, 0.750, 0.750)
Ag (0.375, 0.375, 0.375)
Ag (0.375, 0.375, 0.875)
Ag (0.375, 0.875, 0.375)
Ag (0.875, 0.375, 0.375)

BaNa2TlPd | PBE-GGA | relaxed

Values from the calculation:
The magnetic moment is 0.0314 μB per atom. The calculation puts the total DFT energy (no corrections) at -0.094 Ha/atom.

abc: 5.537 5.537 5.370
angles: 90.00 90.00 90.00
Positions (direct):
Ba (0.000, 0.000, 0.000)
Na (0.000, 0.500, 0.500)
Na (0.500, 0.000, 0.500)
Tl (0.500, 0.500, 0.000)
Pd (0.500, 0.500, 0.500)

BeCrCoTc | PBE-GGA | relaxed

Values from the calculation:
The magnetic moment is 0.0000 μB per atom. The calculation puts the total DFT energy (no corrections) at -0.285 Ha/atom.

abc: 3.991 3.991 3.991
angles: 60.00 60.00 60.00
Positions (direct):
Be (0.000, 0.000, 0.000)
Cr (0.500, 0.500, 0.500)
Co (0.750, 0.750, 0.750)
Tc (0.250, 0.250, 0.250)

TaHg3Se | PBE-GGA | relaxed

Values from the calculation:
The magnetic moment is 0.6990 μB per atom. As for the relative energy among the computed polymorphs: 0.3872 eV/atom. For the raw formation energy, the calculation gives 1.357 eV/atom.

abc: 5.327 5.327 5.327
angles: 90.00 90.00 90.00
Positions (direct):
Ta (0.000, 0.000, 0.000)
Hg (0.000, 0.500, 0.500)
Hg (0.500, 0.000, 0.500)
Hg (0.500, 0.500, 0.000)
Se (0.500, 0.500, 0.500)

LiInRe2 | PBE-GGA | relaxed

Values from the calculation:
The magnetic moment is 0.0000 μB per atom. The calculation puts the total DFT energy (no corrections) at -0.244 Ha/atom.

abc: 2.688 2.688 9.068
angles: 90.00 90.00 90.00
Positions (direct):
Li (0.000, 0.000, 0.000)
In (0.000, 0.000, 0.500)
Re (0.500, 0.500, 0.244)
Re (0.500, 0.500, 0.756)

Zn12CdAg6 | PBE-GGA | relaxed

Values from the calculation:
The magnetic moment is 0.0000 μB per atom. The calculation puts the total DFT energy (no corrections) at -0.064 Ha/atom.

abc: 6.968 6.968 6.968
angles: 101.96 101.96 101.96
Positions (direct):
Zn (0.000, 0.263, 0.737)
Zn (0.000, 0.737, 0.263)
Zn (0.188, 0.585, 0.585)
Zn (0.263, 0.000, 0.737)
Zn (0.263, 0.737, 0.000)
Zn (0.415, 0.415, 0.812)
Zn (0.415, 0.812, 0.415)
Zn (0.585, 0.188, 0.585)
Zn (0.585, 0.585, 0.188)
Zn (0.737, 0.000, 0.263)
Zn (0.737, 0.263, 0.000)
Zn (0.812, 0.415, 0.415)
Cd (0.000, 0.000, 0.000)
Ag (0.166, 0.166, 0.434)
Ag (0.166, 0.434, 0.166)
Ag (0.434, 0.166, 0.166)
Ag (0.566, 0.834, 0.834)
Ag (0.834, 0.566, 0.834)
Ag (0.834, 0.834, 0.566)

LiPb3 | PBE-GGA | relaxed

Values from the calculation:
The magnetic moment is 0.0000 μB per atom. The calculation puts the total DFT energy (no corrections) at -0.124 Ha/atom.

abc: 5.956 5.956 5.956
angles: 132.47 132.13 69.76
Positions (direct):
Li (0.000, 0.000, 0.000)
Pb (0.249, 0.749, 0.500)
Pb (0.500, 0.500, 0.000)
Pb (0.751, 0.251, 0.500)